Below is a relaxed Rb3CoTe2O9 crystal, with properties calculated at the GGA+U level.

N(E_F)	0.640	states/eV per atom
energy	-4.9699	eV per atom

a = 5.8099 Å, b = 5.8099 Å, c = 7.1417 Å
α = 90.00°, β = 90.00°, γ = 120.00°
Last column: nearest neighbours and their distance in Å.
Positions (direct):
1 Rb 0.0000 0.0000 0.0000  12 O 2.88-2.90
2 Rb 0.3333 0.6667 0.6616  12 O 2.91-2.94
3 Rb 0.6667 0.3333 0.3384  12 O 2.91-2.94
4 Co 0.0000 0.0000 0.5000  6 O 2.16
5 Te 0.3333 0.6667 0.1746  6 O 1.92-2.09
6 Te 0.6667 0.3333 0.8254  6 O 1.92-2.09
7 O 0.0000 0.5000 0.0000  2 Te 2.09
8 O 0.1732 0.3465 0.3214  1 Te 1.92
9 O 0.1732 0.8268 0.3214  1 Te 1.92
10 O 0.3465 0.1732 0.6786  1 Te 1.92
11 O 0.5000 0.0000 0.0000  2 Te 2.09
12 O 0.5000 0.5000 0.0000  2 Te 2.09
13 O 0.6535 0.8268 0.3214  1 Te 1.92
14 O 0.8268 0.1732 0.6786  1 Te 1.92
15 O 0.8268 0.6535 0.6786  1 Te 1.92